No. 1
Below is an optimized crystal structure of Pr2SmHo7, with properties calculated at the PBE-GGA level.

Energy   -4.613 eV per atom
N(E_F)   13.09 states/eV/cell
Excess energy over the best structure of this formula in the dataset   0 meV/atom
Energy relative to the elements   19 kJ/mol of formula units
Mass density   8.18 g cm⁻³

Cell and atoms, written as CIF:
```
data_Pr2SmHo7
_cell_length_a 6.180
_cell_length_b 7.138
_cell_length_c 7.984
_cell_angle_alpha 77.21
_cell_angle_beta 75.07
_cell_angle_gamma 73.37
_space_group_name_H-M_alt 'P -1'
_space_group_IT_number 2
_space_group_name_Hall '-P 1'
loop_
_atom_site_label
_atom_site_type_symbol
_atom_site_fract_x
_atom_site_fract_y
_atom_site_fract_z
Pr1 Pr 0.201 0.299 0.101
Sm1 Sm 0.000 0.000 0.500
Ho1 Ho 0.000 0.500 0.500
Ho2 Ho 0.200 0.800 0.101
Ho3 Ho 0.399 0.101 0.698
Ho4 Ho 0.400 0.600 0.698
```

No. 2
Below is an optimized crystal structure of Sb2PdSe, with properties calculated at the PBE-GGA level.

Energy   -4.284 eV per atom
Formation energy from raw total energies   -0.05 eV/atom
N(E_F)   1.67 states/eV/cell
Mass density   5.85 g cm⁻³

Cell and atoms, written as CIF:
```
data_Sb2PdSe
_cell_length_a 6.199
_cell_length_b 6.199
_cell_length_c 12.662
_cell_angle_alpha 90.00
_cell_angle_beta 90.00
_cell_angle_gamma 90.00
_space_group_name_H-M_alt 'I -4 2 d'
_space_group_IT_number 122
_space_group_name_Hall 'I -4 2bw'
loop_
_atom_site_label
_atom_site_type_symbol
_atom_site_fract_x
_atom_site_fract_y
_atom_site_fract_z
Sb1 Sb 0.211 0.250 0.125
Pd1 Pd 0.000 0.000 0.000
Se1 Se 0.000 0.000 0.500
```